# Ga2Si2Ir (PBE, optimized geometry)
data_Ga2Si2Ir
_space_group_name_H-M_alt 'P 4/m b m'
_space_group_IT_number 127
_space_group_name_Hall '-P 4 2ab'
_cell_length_a 6.1957
_cell_length_b 6.1957
_cell_length_c 4.2928
_cell_angle_alpha 90.00
_cell_angle_beta 90.00
_cell_angle_gamma 90.00
loop_
_atom_site_label
_atom_site_type_symbol
_atom_site_fract_x
_atom_site_fract_y
_atom_site_fract_z
Ga1 Ga 0.1802 0.3198 0.0000
Si1 Si 0.1364 0.6364 0.5000
Ir1 Ir 0.0000 0.0000 0.5000
# formation energy (no corrections) = -0.0378 eV/atom
# Fermi-level density of states = 3.4 states/eV/cell
# DFT total energy = -5.190 eV/atom
# spin magnetization = 0.000 μB/cell